Record 1
The following is a GGA-PBE calculation of an optimized crystal structure of La2Sm8Dy3, from Alexandria via LeMat-Bulk.

a = 6.966 Å, b = 9.683 Å, c = 9.683 Å
α = 57.19°, β = 61.21°, γ = 61.21°
Sites, in units of the cell vectors:
Dy 0.000 0.172 0.828
Sm 0.002 0.188 0.188
Sm 0.066 0.579 0.579
Sm 0.568 0.196 0.564
Sm 0.934 0.421 0.421
Sm 0.568 0.564 0.196
La 0.534 0.778 0.778
Dy 0.500 0.000 0.000
La 0.466 0.222 0.222
Sm 0.998 0.812 0.812
Sm 0.432 0.436 0.804
Sm 0.432 0.804 0.436
Dy 0.000 0.828 0.172

Values from the calculation:
D(E_F), states/eV per atom: 1.245
Total magnetic moment, μB/f.u.: 0.000
Energy above the lowest structure with this stoichiometry, meV per atom: 0
V, Å³/f.u.: 459
Formation energy, meV/atom: 210



Record 2
The following is a GGA-PBE calculation of an optimized crystal structure of Na2U2TiSe6, from Alexandria via LeMat-Bulk.

a = 6.846 Å, b = 6.846 Å, c = 7.544 Å
α = 98.92°, β = 98.92°, γ = 119.56°
Each line ends with the local moment (μB).
Sites, in units of the cell vectors:
U 0.334 0.666 0.500  2.34
Se 0.392 0.077 0.723  -0.06
Na 0.171 0.829 0.000  0.00
Se 0.237 0.237 0.277  -0.06
Na 0.829 0.171 0.000  0.00
Se 0.608 0.923 0.277  -0.06
Ti 0.000 0.000 0.500  1.02
U 0.666 0.334 0.500  2.34
Se 0.923 0.608 0.277  -0.06
Se 0.763 0.763 0.723  -0.06
Se 0.077 0.392 0.723  -0.06

Values from the calculation:
D(E_F), states/eV per atom: 0.980
Formation energy from raw total energies, meV per atom: -1182
Total magnetic moment, μB/f.u.: 6.000
V, Å³/f.u.: 293



Record 3
The following is a GGA-PBE calculation of an optimized crystal structure of NiAgOs2, from Alexandria via LeMat-Bulk.

a = 4.671 Å, b = 4.671 Å, c = 4.840 Å
α = 81.28°, β = 81.28°, γ = 33.58°
Sites, in units of the cell vectors:
Ni 0.256 0.256 0.251
Os 0.998 0.998 0.979
Ag 0.503 0.503 0.477
Os 0.743 0.743 0.793

Values from the calculation:
D(E_F), states/eV per atom: 1.013
Total magnetic moment, μB/f.u.: 0.000
Energy above the lowest structure with this stoichiometry, meV per atom: 171
V, Å³/f.u.: 58
Formation energy, meV/atom: 468



Record 4
The following is a GGA-PBE calculation of an optimized crystal structure of KBi3Rh, from Alexandria via LeMat-Bulk.

a = 6.568 Å, b = 9.762 Å, c = 9.939 Å
α = 99.93°, β = 90.00°, γ = 90.00°
Sites, in units of the cell vectors:
Bi 0.065 0.710 0.581
K 0.045 0.406 0.798
Bi 0.083 0.981 0.334
Rh 0.187 0.947 0.062
Bi 0.935 0.290 0.419
Bi 0.435 0.710 0.081
Bi 0.417 0.981 0.834
Bi 0.909 0.783 0.913
K 0.955 0.594 0.202
Bi 0.583 0.019 0.166
Rh 0.813 0.053 0.938
Bi 0.091 0.217 0.087
Bi 0.565 0.290 0.919
K 0.455 0.406 0.298
Bi 0.591 0.783 0.413
Bi 0.917 0.019 0.666
Rh 0.687 0.053 0.438
Bi 0.409 0.217 0.587
K 0.545 0.594 0.702
Rh 0.313 0.947 0.562

Values from the calculation:
D(E_F), states/eV per atom: 0.445
Total magnetic moment, μB/f.u.: 0.000
Energy above the lowest structure with this stoichiometry, meV per atom: 38
V, Å³/f.u.: 157
Formation energy, meV/atom: -224



Record 5
The following is a GGA-PBE calculation of an optimized crystal structure of BC3, from Alexandria via LeMat-Bulk.

a = 2.511 Å, b = 4.540 Å, c = 6.524 Å
α = 91.24°, β = 90.00°, γ = 90.00°
Sites, in units of the cell vectors:
C 0.500 0.831 0.593
C 0.500 0.474 0.256
C 0.000 0.344 0.347
B 0.500 0.491 0.007
C 0.000 0.687 0.907
B 0.500 0.811 0.353
C 0.000 0.008 0.982
B 0.000 0.020 0.226
C 0.500 0.166 0.903
C 0.000 0.668 0.674
C 0.500 0.168 0.665
C 0.000 0.332 0.587

Values from the calculation:
D(E_F), states/eV per atom: 0.214
Total magnetic moment, μB/f.u.: 0.000
Energy above the lowest structure with this stoichiometry, meV per atom: 63
V, Å³/f.u.: 25
Formation energy, meV/atom: 304



Record 6
The following is a GGA-PBE calculation of an optimized crystal structure of PuCuO4, from Alexandria via LeMat-Bulk.

a = 4.903 Å, b = 5.063 Å, c = 6.160 Å
α = 90.00°, β = 90.00°, γ = 90.00°
Each line ends with the local moment (μB).
Sites, in units of the cell vectors:
O 0.271 0.299 0.370  0.16
Cu 0.500 0.500 0.661  0.51
O 0.771 0.701 0.870  0.16
O 0.229 0.299 0.870  0.16
O 0.275 0.814 0.621  0.19
Pu 0.500 0.000 0.359  -2.22
O 0.225 0.814 0.121  0.19
O 0.725 0.186 0.621  0.19
Cu 0.000 0.500 0.161  0.51
O 0.775 0.186 0.121  0.19
O 0.729 0.701 0.370  0.16
Pu 0.000 0.000 0.859  -2.22

Values from the calculation:
D(E_F), states/eV per atom: 0.517
Formation energy from raw total energies, meV per atom: -1815
Total magnetic moment, μB/f.u.: 0.973
V, Å³/f.u.: 76



Result set for VASP energy: -4.51 -6.09 -7.30 -4.24 -8.28 -8.19 eV per atom, one per record in the order listed.